Here is a relaxed HfTlIr2Ru crystal from Alexandria. Energies are from PBE.

The structure in extended XYZ format:
```
5
Lattice="4.8121 0.0000 0.0000 0.0000 4.8121 0.0000 0.0000 0.0000 4.8224" Properties=species:S:1:pos:R:3 pbc="T T T"
Hf 0.0000 0.0000 0.0000
Tl 2.4061 2.4061 0.0000
Ir 0.0000 2.4061 2.4112
Ir 2.4061 0.0000 2.4112
Ru 0.0000 0.0000 2.4112
```

Total magnetic moment   0.00 μB per formula unit
ΔE_f   97 kJ per mole of atoms
V   112 Å³ per cell


Here is a relaxed MgAsIr2 crystal from Alexandria. Energies are from PBE.

The structure in extended XYZ format:
```
4
Lattice="-2.0689 2.0689 3.5132 2.0689 -2.0689 3.5132 2.0689 2.0689 -3.5132" Properties=species:S:1:pos:R:3 pbc="T T T"
Mg 0.0000 0.0000 0.0000
As 0.0000 0.0000 3.5132
Ir 2.0689 0.0000 1.7566
Ir 0.0000 2.0689 1.7566
```

Total magnetic moment   0.00 μB per formula unit
ΔE_f   -14 kJ per mole of atoms
V   60 Å³ per cell


Here is a relaxed Pm3Nd6Tl crystal from Alexandria. Energies are from PBE.

The structure in extended XYZ format:
```
20
Lattice="6.8867 3.9760 4.0939 -6.8867 3.9760 4.0939 0.0000 -7.9520 4.0939" Properties=species:S:1:pos:R:3 pbc="T T T"
Pm -2.8557 -1.6481 5.5584
Pm -0.0006 -3.2971 6.7232
Pm -2.8551 1.6490 6.7232
Pm 2.8551 -1.6490 5.5585
Pm 0.0006 3.2971 5.5585
Pm 2.8557 1.6481 6.7232
Nd -1.7360 -4.9281 4.0955
Nd -1.8708 1.0565 2.9762
Nd 0.0204 -2.1484 2.9762
Nd -3.3999 3.9675 4.0955
Nd -5.1359 -0.9606 8.1861
Nd 1.8503 1.0919 2.9762
Nd -1.8503 -1.0919 9.3054
Nd 5.1359 0.9606 4.0955
Nd 3.3999 -3.9675 8.1861
Nd -0.0204 2.1484 9.3054
Nd 1.8708 -1.0565 9.3054
Nd 1.7360 4.9281 8.1861
Tl 0.0000 0.0000 0.0000
Tl 0.0000 0.0000 6.1408
```

Total magnetic moment   0.00 μB per formula unit
ΔE_f   0 kJ per mole of atoms
V   673 Å³ per cell


Here is a relaxed Nd3Sm7Th crystal from Alexandria. Energies are from PBE.

The structure in extended XYZ format:
```
11
Lattice="7.2035 0.0000 0.0000 -3.6017 6.2384 0.0000 0.0000 0.0000 8.8093" Properties=species:S:1:pos:R:3 pbc="T T T"
Nd -1.7741 3.1346 0.0000
Nd 1.7741 3.1346 0.0000
Nd 0.0000 6.2075 0.0000
Sm 0.0000 2.1140 5.7967
Sm -1.7710 5.1814 5.7967
Sm 1.8081 1.0439 2.9098
Sm 1.7710 5.1814 5.7967
Sm 3.6017 2.0795 5.8067
Sm 5.3953 1.0439 2.9098
Sm 3.6017 4.1505 2.9098
Th 0.0000 4.1589 2.9200
```

Total magnetic moment   0.00 μB per formula unit
ΔE_f   17 kJ per mole of atoms
V   396 Å³ per cell


Here is a relaxed Sc5Tl2H crystal from Alexandria. Energies are from PBE.

The structure in extended XYZ format:
```
8
Lattice="-3.2006 3.2006 4.3031 3.2006 -3.2006 4.3031 3.2006 3.2006 -4.3031" Properties=species:S:1:pos:R:3 pbc="T T T"
Sc 0.0000 0.0000 0.0000
Sc 1.6192 1.6192 -2.1160
Sc 1.5814 -1.5814 2.1871
Sc -1.5814 1.5814 2.1871
Sc 1.5814 1.5814 2.1871
Tl 3.2006 0.0000 0.0330
Tl 0.0000 3.2006 0.0330
H 0.0000 0.0000 6.5413
```

Energy   -0.18830 Ha/atom
Total magnetic moment   1.84 μB per formula unit
V   176 Å³ per cell


Here is a relaxed Na2LaRhO4 crystal from Alexandria. Energies are from PBE.

The structure in extended XYZ format:
```
8
Lattice="5.5612 0.0000 0.0000 0.0000 3.4303 0.0000 -1.9654 0.0000 5.6648" Properties=species:S:1:pos:R:3 pbc="T T T"
Na 0.0000 0.0000 0.0000
Na 2.7806 1.7151 0.0000
La -0.9827 1.7151 2.8324
Rh 1.7979 0.0000 2.8324
O 0.0456 0.0000 4.1305
O 1.1190 1.7151 1.6656
O 2.4769 1.7151 3.9991
O 3.5502 0.0000 1.5342
```

Total magnetic moment   0.00 μB per formula unit
V   108 Å³ per cell
Energy relative to the elements, uncorrected   -14.3 eV/f.u.


Here is a relaxed AcBeSb2 crystal from Alexandria. Energies are from PBE.

The structure in extended XYZ format:
```
4
Lattice="4.7984 0.0000 0.0000 0.0000 4.7984 0.0000 0.0000 0.0000 4.6478" Properties=species:S:1:pos:R:3 pbc="T T T"
Ac 0.0000 0.0000 0.0000
Be 2.3992 2.3992 0.0000
Sb 0.0000 2.3992 2.3239
Sb 2.3992 0.0000 2.3239
```

Total magnetic moment   0.00 μB per formula unit
V   107 Å³ per cell
Energy relative to the elements, uncorrected   -0.5 eV/f.u.


Here is a relaxed MgAu crystal from Alexandria. Energies are from PBE.

The structure in extended XYZ format:
```
4
Lattice="2.2480 1.2979 4.8344 -2.2480 1.2979 4.8344 0.0000 -2.5958 4.8344" Properties=species:S:1:pos:R:3 pbc="T T T"
Mg 0.0000 0.0000 1.5173
Mg 0.0000 0.0000 12.9859
Au 0.0000 0.0000 4.2650
Au 0.0000 0.0000 10.2381
```

Total magnetic moment   0.00 μB per formula unit
ΔE_f   -41 kJ per mole of atoms
V   85 Å³ per cell


Here is a relaxed LaPr2Ir9 crystal from Alexandria. Energies are from PBE.

The structure in extended XYZ format:
```
12
Lattice="2.7036 1.5609 8.8661 -2.7036 1.5609 8.8661 0.0000 -3.1219 8.8661" Properties=species:S:1:pos:R:3 pbc="T T T"
La 0.0000 0.0000 0.0000
Pr 0.0000 0.0000 3.7135
Pr 0.0000 0.0000 22.8847
Ir -1.3355 -0.7711 11.0126
Ir 0.0000 0.0000 8.8268
Ir 0.0000 -1.5421 15.5856
Ir -1.3355 0.7711 15.5856
Ir 0.0000 0.0000 13.2991
Ir 1.3355 -0.7711 11.0126
Ir 0.0000 1.5421 11.0126
Ir 0.0000 0.0000 17.7715
Ir 1.3355 0.7711 15.5857
```

Total magnetic moment   0.00 μB per formula unit
ΔE_f   -49 kJ per mole of atoms
V   225 Å³ per cell


Here is a relaxed Th4GaPt crystal from Alexandria. Energies are from PBE.

The structure in extended XYZ format:
```
12
Lattice="7.4816 0.0000 0.0000 0.0000 7.4816 0.0000 0.0000 0.0000 5.7888" Properties=species:S:1:pos:R:3 pbc="T T T"
Th 1.1748 2.5208 0.0000
Th 1.1748 4.9609 2.8944
Th 2.5208 1.1748 2.8944
Th 2.5208 6.3068 0.0000
Th 4.9609 1.1748 0.0000
Th 4.9609 6.3068 2.8944
Th 6.3068 2.5208 2.8944
Th 6.3068 4.9609 0.0000
Ga 3.7408 3.7408 1.4472
Ga 3.7408 3.7408 4.3416
Pt 0.0000 0.0000 1.4472
Pt 0.0000 0.0000 4.3416
```

Total magnetic moment   0.00 μB per formula unit
ΔE_f   -54 kJ per mole of atoms
V   324 Å³ per cell


Here is a relaxed CaFeAg crystal from Alexandria. Energies are from PBE.

The structure in extended XYZ format:
```
3
Lattice="-1.6839 1.6839 5.5109 1.6839 -1.6839 5.5109 1.6839 1.6839 -5.5109" Properties=species:S:1:pos:R:3 pbc="T T T"
Ca 0.0000 0.0000 0.0000
Fe 0.0000 0.0000 7.5612
Ag 0.0000 0.0000 3.3239
```

Total magnetic moment   2.73 μB per formula unit
ΔE_f   32 kJ per mole of atoms
V   63 Å³ per cell


Here is a relaxed CeHoIrPt crystal from Alexandria. Energies are from PBE.

The structure in extended XYZ format:
```
4
Lattice="4.1973 0.0000 0.0000 0.0000 1.9053 5.5399 0.0000 -1.9053 5.5399" Properties=species:S:1:pos:R:3 pbc="T T T"
Ce 0.0000 0.0000 0.0000
Ho 2.0986 0.0000 3.0788
Ir 2.0986 0.0000 5.9831
Pt 0.0000 0.0000 8.0311
```

Total magnetic moment   0.00 μB per formula unit
ΔE_f   -100 kJ per mole of atoms
V   89 Å³ per cell